This record from Alexandria describes a crystal of HfNi2Mo relaxed with PBEsol. The functional is meta-GGA SCAN.

Lattice parameters (Å, degrees): 6.0832 6.0832 6.0832 90.00 90.00 90.00
Space group Fm-3m (No. 225)
Asymmetric unit:
Hf (0.0000, 0.0000, 0.0000) x4
Ni (0.2500, 0.2500, 0.2500) x8
Mo (0.0000, 0.0000, 0.5000) x4

Output
**Calculated total energy**: -32.509 eV/atom
**Total magnetic moment**: 0.5567 μB per atom
**Energy relative to the elements**: -33 meV/atom